A relaxed NaSr3Dy3Te8 crystal, computed with GGA-PBE.

a = 9.0034 Å, b = 9.0047 Å, c = 9.1628 Å
α = 119.44°, β = 90.00°, γ = 120.00°
Sites, in units of the cell vectors:
Sr1 0.5000 0.5000 0.0000
Sr2 0.0000 0.5000 0.0000
Sr3 0.0000 0.0000 0.0000
Dy1 0.5000 0.0000 0.5000
Dy2 0.5000 0.5000 0.5000
Dy3 0.0000 0.5000 0.5000
Te1 0.2568 0.5135 0.2700
Te2 0.7294 0.9808 0.7330
Te3 0.2517 0.5034 0.7323
Te4 0.2513 0.9808 0.7330
Te5 0.7432 0.4865 0.7300
Te6 0.2706 0.0192 0.2670
Te7 0.7487 0.0192 0.2670
Te8 0.7483 0.4966 0.2677
Na1 0.0000 0.0000 0.5000

Properties
* density: 5.62 Mg/m³
* space-group type: R-3m, No. 166
* energy relative to the elements, uncorrected: -1.435 eV/atom
* volume: 530 Å³/cell



A relaxed NaSr3Dy2Te6 crystal, computed with GGA-PBE.

a = 7.9183 Å, b = 7.9183 Å, c = 7.9379 Å
α = 99.58°, β = 99.58°, γ = 119.96°
Sites, in units of the cell vectors:
Te1 0.2656 0.2656 0.7710
Te2 0.0778 0.4201 0.2323
Te3 0.9222 0.5799 0.7677
Te4 0.4201 0.0778 0.2323
Te5 0.7344 0.7344 0.2290
Te6 0.5799 0.9222 0.7677
Sr1 0.8369 0.1631 0.5000
Sr2 0.5000 0.5000 0.5000
Sr3 0.1631 0.8369 0.5000
Na1 0.0000 0.0000 0.0000
Dy1 0.3324 0.6676 0.0000
Dy2 0.6676 0.3324 0.0000

Properties
* density: 5.62 Mg/m³
* space-group type: C2/m, No. 12
* energy relative to the elements, uncorrected: -1.501 eV/atom
* volume: 407 Å³/cell



A relaxed NaSrDy2Te4 crystal, computed with GGA-PBE.

a = 6.3488 Å, b = 6.3488 Å, c = 7.7257 Å
α = 114.26°, β = 114.26°, γ = 90.00°
Sites, in units of the cell vectors:
Dy1 0.6871 0.1871 0.5000
Dy2 0.1871 0.6871 0.5000
Sr1 0.9368 0.9368 0.0000
Te1 0.9375 0.4368 0.0000
Te2 0.1931 0.1931 0.5118
Te3 0.4368 0.9375 0.0000
Te4 0.6813 0.6813 0.4882
Na1 0.4376 0.4376 0.0000

Properties
* density: 6.20 Mg/m³
* space-group type: Fmm2, No. 42
* energy relative to the elements, uncorrected: -1.347 eV/atom
* volume: 253 Å³/cell



A relaxed NaSrDyTl crystal, computed with GGA-PBE.

a = 5.6465 Å, b = 5.6465 Å, c = 5.6465 Å
α = 60.00°, β = 60.00°, γ = 60.00°
Sites, in units of the cell vectors:
Dy1 0.2500 0.2500 0.2500
Tl1 0.5000 0.5000 0.5000
Sr1 0.7500 0.7500 0.7500
Na1 0.0000 0.0000 0.0000

Properties
* density: 6.23 Mg/m³
* space-group type: F-43m, No. 216
* E_form: -69 meV per atom
* volume: 127 Å³/cell



A relaxed NaTbDy2 crystal, computed with GGA-PBE.

a = 3.5330 Å, b = 3.5330 Å, c = 10.5310 Å
α = 90.00°, β = 90.00°, γ = 90.00°
Sites, in units of the cell vectors:
Tb1 0.5000 0.5000 0.0000
Dy1 0.0000 0.0000 0.2306
Dy2 0.0000 0.0000 0.7694
Na1 0.5000 0.5000 0.5000

Properties
* offset from the most stable computed form: 0 meV/atom
* density: 6.40 Mg/m³
* space-group type: P4/mmm, No. 123
* E_form: 134 meV per atom
* volume: 131 Å³/cell



A relaxed NaTb2Dy crystal, computed with GGA-PBE.

a = 3.5220 Å, b = 3.5220 Å, c = 10.6123 Å
α = 90.00°, β = 90.00°, γ = 90.00°
Sites, in units of the cell vectors:
Na1 0.5000 0.5000 0.5000
Tb1 0.0000 0.0000 0.7694
Tb2 0.0000 0.0000 0.2306
Dy1 0.5000 0.5000 0.0000

Properties
* offset from the most stable computed form: 0 meV/atom
* density: 6.35 Mg/m³
* space-group type: P4/mmm, No. 123
* E_form: 127 meV per atom
* volume: 132 Å³/cell



A relaxed NaTb2Dy crystal, computed with GGA-PBE.

a = 3.5046 Å, b = 3.5046 Å, c = 12.8365 Å
α = 82.15°, β = 82.15°, γ = 60.00°
Sites, in units of the cell vectors:
Tb1 0.0921 0.0921 0.7236
Tb2 0.9079 0.9079 0.2764
Dy1 0.5000 0.5000 0.5000
Na1 0.0000 0.0000 0.0000

Properties
* offset from the most stable computed form: 28 meV/atom
* density: 6.20 Mg/m³
* space-group type: R-3m, No. 166
* E_form: 155 meV per atom
* volume: 135 Å³/cell



A relaxed NaTbDy2 crystal, computed with GGA-PBE.

a = 3.4993 Å, b = 3.4993 Å, c = 12.8248 Å
α = 82.16°, β = 82.16°, γ = 60.00°
Sites, in units of the cell vectors:
Dy1 0.9080 0.9080 0.2760
Dy2 0.0920 0.0920 0.7240
Tb1 0.5000 0.5000 0.5000
Na1 0.0000 0.0000 0.0000

Properties
* offset from the most stable computed form: 29 meV/atom
* density: 6.27 Mg/m³
* space-group type: R-3m, No. 166
* E_form: 164 meV per atom
* volume: 134 Å³/cell



A relaxed Na3Tb2DyTe6 crystal, computed with GGA-PBE.

a = 7.6852 Å, b = 7.6852 Å, c = 7.9894 Å
α = 99.23°, β = 99.23°, γ = 120.00°
Sites, in units of the cell vectors:
Tb1 0.3334 0.6666 0.0000
Tb2 0.6666 0.3334 0.0000
Te1 0.5902 0.9225 0.7674
Te2 0.0775 0.4098 0.2326
Te3 0.4098 0.0775 0.2326
Te4 0.9225 0.5902 0.7674
Te5 0.2547 0.2547 0.7673
Te6 0.7453 0.7453 0.2327
Na1 0.5000 0.5000 0.5000
Na2 0.1672 0.8328 0.5000
Na3 0.8328 0.1672 0.5000
Dy1 0.0000 0.0000 0.0000

Properties
* density: 5.64 Mg/m³
* space-group type: C2/m, No. 12
* energy relative to the elements, uncorrected: -1.320 eV/atom
* volume: 387 Å³/cell



A relaxed Na3Tb3DyTe8 crystal, computed with GGA-PBE.

a = 8.7570 Å, b = 8.7613 Å, c = 9.1947 Å
α = 118.48°, β = 90.00°, γ = 119.97°
Sites, in units of the cell vectors:
Tb1 0.0000 0.5000 0.5000
Tb2 0.5000 0.0000 0.5000
Tb3 0.5000 0.5000 0.5000
Te1 0.2552 0.5105 0.2657
Te2 0.7553 0.0123 0.2676
Te3 0.7554 0.5108 0.2677
Te4 0.7430 0.9877 0.7323
Te5 0.2447 0.9877 0.7324
Te6 0.7448 0.4895 0.7343
Te7 0.2570 0.0123 0.2677
Te8 0.2446 0.4892 0.7323
Na1 0.0000 0.5000 0.0000
Na2 0.0000 0.0000 0.0000
Na3 0.5000 0.5000 0.0000
Dy1 0.0000 0.0000 0.5000

Properties
* density: 5.63 Mg/m³
* space-group type: C2/m, No. 12
* energy relative to the elements, uncorrected: -1.254 eV/atom
* volume: 510 Å³/cell



A relaxed NaTb2Dy3Te6 crystal, computed with GGA-PBE.

a = 4.3615 Å, b = 8.8108 Å, c = 9.8147 Å
α = 103.17°, β = 102.84°, γ = 90.00°
Sites, in units of the cell vectors:
Te1 0.6646 0.5850 0.3292
Te2 0.9981 0.7474 0.9963
Te3 0.0019 0.2526 0.0037
Te4 0.3354 0.4150 0.6708
Te5 0.3315 0.9170 0.6631
Te6 0.6685 0.0830 0.3369
Dy1 0.1646 0.8258 0.3293
Dy2 0.5000 0.5000 0.0000
Dy3 0.8354 0.1742 0.6707
Na1 0.5000 0.0000 0.0000
Tb1 0.1700 0.3436 0.3401
Tb2 0.8300 0.6564 0.6599

Properties
* density: 7.40 Mg/m³
* space-group type: C2/m, No. 12
* energy relative to the elements, uncorrected: -1.310 eV/atom
* volume: 358 Å³/cell



A relaxed NaTb3Dy2Te6 crystal, computed with GGA-PBE.

a = 4.3662 Å, b = 8.8114 Å, c = 9.8165 Å
α = 103.14°, β = 102.85°, γ = 90.00°
Sites, in units of the cell vectors:
Te1 0.6657 0.5826 0.3314
Te2 0.6685 0.0846 0.3370
Te3 0.0026 0.2514 0.0053
Te4 0.3343 0.4174 0.6686
Te5 0.3315 0.9154 0.6630
Te6 0.9974 0.7486 0.9947
Tb1 0.1638 0.8246 0.3275
Tb2 0.8362 0.1754 0.6725
Tb3 0.5000 0.5000 0.0000
Na1 0.5000 0.0000 0.0000
Dy1 0.8309 0.6580 0.6618
Dy2 0.1691 0.3420 0.3382

Properties
* density: 7.38 Mg/m³
* space-group type: C2/m, No. 12
* energy relative to the elements, uncorrected: -1.312 eV/atom
* volume: 358 Å³/cell